[1]
# PrTc2Ge2P GGA-PBE optimized geometry
data_PrTc2Ge2P
_symmetry_space_group_name_H-M 'P 4/m m m'
_symmetry_Int_Tables_number 123
_symmetry_space_group_name_Hall '-P 4 2'
_cell_length_a 4.470
_cell_length_b 4.470
_cell_length_c 5.661
_cell_angle_alpha 90.00
_cell_angle_beta 90.00
_cell_angle_gamma 90.00
loop_
_atom_site_label
_atom_site_type_symbol
_atom_site_fract_x
_atom_site_fract_y
_atom_site_fract_z
Pr1 Pr 0.000 0.000 0.000
Tc1 Tc 0.000 0.500 0.500
Ge1 Ge 0.500 0.500 0.225
P1 P 0.000 0.000 0.500
# **Spin magnetization**: 0.00 μB/atom
# **Final energy**: -42.5 eV/cell

***

[2]
# SrLi2Ca GGA-PBE optimized geometry
data_SrLi2Ca
_symmetry_space_group_name_H-M 'F -4 3 m'
_symmetry_Int_Tables_number 216
_symmetry_space_group_name_Hall 'F -4 2 3'
_cell_length_a 8.288
_cell_length_b 8.288
_cell_length_c 8.288
_cell_angle_alpha 90.00
_cell_angle_beta 90.00
_cell_angle_gamma 90.00
loop_
_atom_site_label
_atom_site_type_symbol
_atom_site_fract_x
_atom_site_fract_y
_atom_site_fract_z
Sr1 Sr 0.000 0.000 0.000
Li1 Li 0.000 0.000 0.500
Li2 Li 0.250 0.250 0.250
Ca1 Ca 0.250 0.250 0.750
# **Spin magnetization**: 0.00 μB/atom
# **Distance to the lowest polymorph of the same formula**: 0.139 eV per atom